Here is a crystal of Rb2TlFeSn relaxed with PBEsol from Alexandria. Energies are from SCAN.

abc: 6.574 6.574 4.969
angles: 90.00 90.00 90.00
Positions (direct):
Rb 0.000 0.500 0.000
Rb 0.500 0.000 0.000
Tl 0.000 0.000 0.000
Fe 0.000 0.000 0.500
Sn 0.500 0.500 0.500

Output
ΔH_f (0 K), eV per atom: 0.650
N(E_F), states/eV per cell: 2.5

Here is a crystal of Na2TaPbBr relaxed with PBEsol from Alexandria. Energies are from SCAN.

abc: 4.910 4.910 6.142
angles: 90.00 90.00 90.00
Positions (direct):
Na 0.000 0.500 0.000
Na 0.500 0.000 0.000
Ta 0.000 0.000 0.500
Pb 0.500 0.500 0.500
Br 0.500 0.500 0.000

Output
Raw formation energy, eV/atom: 0.693
N(E_F), states/eV per cell: 2.0

- Which of these has the highest N(E_F)?
  Rb2TlFeSn

- The lowest N(E_F) belongs to which entry?
  Na2TaPbBr

- The highest N(E_F) belongs to which entry?
  Rb2TlFeSn